(1)
Hf2ZrCuH | PBE | optimized geometry

Lattice parameters (Å, degrees): 4.3856 4.3856 4.1699 90.00 90.00 90.00
Closest atoms and distances in Å follow each position.
Space group P4/mmm (No. 123)
Symmetry-distinct sites (fractional):
Hf: 0.0000 0.5000 0.0000 [2 per cell]  2 H 2.19
Zr: 0.0000 0.0000 0.5000 [1 per cell]  8 Hf 3.03, 4 Cu 3.10
Cu: 0.5000 0.5000 0.5000 [1 per cell]  2 H 2.08
H: 0.5000 0.5000 0.0000 [1 per cell]  2 Cu 2.08, 4 Hf 2.19

(2)
Hf2ZrCuH | PBE | optimized geometry

Lattice parameters (Å, degrees): 4.3315 4.3315 4.3277 90.00 90.00 90.00
Closest atoms and distances in Å follow each position.
Space group P4/mmm (No. 123)
Symmetry-distinct sites (fractional):
Hf: 0.0000 0.5000 0.0000 [2 per cell]  2 H 2.17
Zr: 0.0000 0.0000 0.5000 [1 per cell]  2 H 2.16
Cu: 0.5000 0.5000 0.5000 [1 per cell]  8 Hf 3.06, 4 Zr 3.06
H: 0.0000 0.0000 0.0000 [1 per cell]  2 Zr 2.16, 4 Hf 2.17

Calculated Fermi-level density of states in order - 3.96; 5.50 states/eV/f.u.
Calculated distance to the lowest polymorph of the same formula in order - 0.50; 0.00 kcal/mol of atoms
Calculated magnetic moment in order - 0.0; 0.0 μB/f.u.